This record from Alexandria describes CrCuRe2 after structural relaxation. The functional is GGA-PBE.

Cell lengths 4.6911, 4.6911, 4.4579 Å; angles 77.39, 77.39, 34.69 degrees
Closest atoms and distances in Å follow each position.
Sites, in units of the cell vectors:
Cr (0.4955, 0.4955, 0.5008)  7 Re 2.59-2.78, 3 Cu 2.66-2.70, 2 Cr 2.80
Cu (0.2469, 0.2469, 0.2550)  7 Re 2.61-2.70, 3 Cr 2.66-2.70, 2 Cu 2.80
Re (0.0027, 0.0027, 0.9993)  4 Cr 2.63-2.64, 5 Re 2.68-2.80, 3 Cu 2.69-2.70
Re (0.7549, 0.7549, 0.7450)  3 Cr 2.59-2.78, 4 Cu 2.61-2.66, 5 Re 2.68-2.80

## Properties
As for the calculated total energy: -9.39 eV/atom. The value obtained for the energy above the most stable polymorph in this dataset is 36 meV per atom. Its volume is 13.59 A^3/atom. The calculation puts the formation energy at 0.26 eV/atom. As for the density of states at the Fermi level: 3.6 states/eV/f.u.

This record from Alexandria describes YSbW2 after structural relaxation. The functional is GGA-PBE.

Cell lengths 5.0100, 5.9031, 3.1317 Å; angles 75.33, 88.39, 114.64 degrees
Closest atoms and distances in Å follow each position.
Sites, in units of the cell vectors:
Sb (0.5000, 0.5000, 0.0000)  4 Y 2.92-2.99, 4 W 2.97, 2 Sb 3.13
W (0.0000, 0.0000, 0.0000)  6 W 2.92-3.13, 2 Y 2.97, 2 Sb 2.97
W (0.5000, 0.0000, 0.5000)  6 W 2.92-3.13, 2 Sb 2.97, 2 Y 2.97
Y (0.0000, 0.5000, 0.5000)  4 Sb 2.92-2.99, 4 W 2.97, 2 Y 3.13

## Properties
As for the calculated total energy: -8.54 eV/atom. Its volume is 20.12 A^3/atom. As for the density of states at the Fermi level: 3.4 states/eV/f.u. The calculation puts the formation energy without anion corrections at 0.5811 eV per atom.

This record from Alexandria describes TbErCu10 after structural relaxation. The functional is GGA-PBE.

Cell lengths 4.1003, 5.0420, 8.6592 Å; angles 90.00, 90.00, 90.00 degrees
Closest atoms and distances in Å follow each position.
Sites, in units of the cell vectors:
Tb (0.0000, 0.0000, 0.0000)  14 Cu 2.90-3.24
Er (0.0000, 0.5000, 0.5000)  6 Cu 2.88-2.90
Cu (0.0000, 0.0000, 0.3346)  6 Cu 2.50-2.51
Cu (0.0000, 0.5000, 0.8321)  6 Cu 2.51
Cu (0.0000, 0.5000, 0.1679)  6 Cu 2.51
Cu (0.0000, 0.0000, 0.6654)  6 Cu 2.50-2.51
Cu (0.5000, 0.0000, 0.5000)  8 Cu 2.50
Cu (0.5000, 0.5000, 0.0000)  8 Cu 2.51
Cu (0.5000, 0.2507, 0.2511)  8 Cu 2.50-2.53
Cu (0.5000, 0.7493, 0.7489)  8 Cu 2.50-2.53
Cu (0.5000, 0.7493, 0.2511)  8 Cu 2.50-2.53
Cu (0.5000, 0.2507, 0.7489)  8 Cu 2.50-2.53

## Properties
As for the calculated total energy: -4.37 eV/atom. Its volume is 14.92 A^3/atom. The calculation puts the formation energy at -0.19 eV/atom. As for the density of states at the Fermi level: 7.6 states/eV/f.u.

What is the calculated total energy in the first record? -9.39 eV/atom